Pm6PrEr2Mg | PBE | optimized geometry

a b c (Å): 9.519 8.595 8.595
angles (deg): 106.30 96.70 96.70
Fractional positions:
Pm 0.074 0.078 0.737
Pm 0.426 0.263 0.922
Pm 0.926 0.922 0.263
Pm 0.574 0.737 0.078
Pm 0.330 0.033 0.464
Pm 0.170 0.536 0.967
Pm 0.670 0.967 0.536
Pm 0.830 0.464 0.033
Pm 0.096 0.672 0.436
Pm 0.404 0.564 0.328
Pm 0.904 0.328 0.564
Pm 0.596 0.436 0.672
Pr 0.250 0.936 0.064
Pr 0.750 0.064 0.936
Er 0.406 0.798 0.730
Er 0.094 0.270 0.202
Er 0.594 0.202 0.270
Er 0.906 0.730 0.798
Mg 0.250 0.402 0.598
Mg 0.750 0.598 0.402

## Properties
**N(E_F)**: 1.31 states/eV per atom
**Formation energy**: 0.11 eV/atom
**Spin magnetization**: 0.00 μB per cell
**Raw total energy**: -42.94 eV per formula unit